No. 1
Material: LaCePmCd
Method: DFT, PBE-GGA
State: optimized geometry

Output
ΔH_f (0 K): 3.05 kJ/mol of atoms
mass density: 7.20 g/cm3
final energy: -4.100 eV per atom
volume: 123.7 Å³/f.u.

a = 5.593 Å, b = 5.593 Å, c = 5.593 Å
α = 60.00°, β = 60.00°, γ = 60.00°
Sites, in units of the cell vectors:
La1 0.000 0.000 0.000
Ce1 0.500 0.500 0.500
Pm1 0.750 0.750 0.750
Cd1 0.250 0.250 0.250

No. 2
Material: Er2Th3ScSe6
Method: DFT, PBE-GGA
State: optimized geometry

Output
mass density: 8.82 g/cm3
final energy: -6.476 eV per atom
volume: 291.6 Å³/f.u.
E_form (uncorrected): -1591 meV/atom

a = 9.405 Å, b = 9.405 Å, c = 8.460 Å
α = 109.02°, β = 109.02°, γ = 24.42°
Sites, in units of the cell vectors:
Er1 0.165 0.165 0.331
Er2 0.835 0.835 0.669
Th1 0.168 0.168 0.833
Th2 0.500 0.500 0.500
Th3 0.832 0.832 0.167
Sc1 0.500 0.500 0.000
Se1 0.003 0.003 0.230
Se2 0.328 0.328 0.429
Se3 0.342 0.342 0.909
Se4 0.658 0.658 0.091
Se5 0.672 0.672 0.571
Se6 0.997 0.997 0.770

No. 3
Material: W2IN2
Method: DFT, PBE-GGA
State: optimized geometry

Output
mass density: 12.13 g/cm3
final energy: -8.326 eV per atom
volume: 71.6 Å³/f.u.
E_form (uncorrected): 496 meV/atom

a = 5.886 Å, b = 5.886 Å, c = 5.886 Å
α = 143.54°, β = 143.54°, γ = 52.51°
Sites, in units of the cell vectors:
W1 0.155 0.155 0.000
W2 0.845 0.845 0.000
I1 0.500 0.500 0.000
N1 0.250 0.750 0.500
N2 0.750 0.250 0.500

No. 4
Material: BeTl2Ge2
Method: DFT, PBE-GGA
State: optimized geometry

Output
ΔH_f (0 K): 30.25 kJ/mol of atoms
mass density: 8.31 g/cm3
final energy: -3.225 eV per atom
volume: 112.6 Å³/f.u.

a = 6.244 Å, b = 6.244 Å, c = 5.774 Å
α = 90.00°, β = 90.00°, γ = 90.00°
Sites, in units of the cell vectors:
Be1 0.000 0.000 0.000
Be2 0.500 0.500 0.000
Tl1 0.187 0.313 0.500
Tl2 0.313 0.813 0.500
Tl3 0.687 0.187 0.500
Tl4 0.813 0.687 0.500
Ge1 0.148 0.648 0.000
Ge2 0.352 0.148 0.000
Ge3 0.648 0.852 0.000
Ge4 0.852 0.352 0.000

No. 5
Material: SrP3Pt
Method: DFT, PBE-GGA
State: optimized geometry

Output
ΔH_f (0 K): -62.37 kJ/mol of atoms
mass density: 6.39 g/cm3
final energy: -5.437 eV per atom
volume: 97.7 Å³/f.u.

a = 5.736 Å, b = 5.736 Å, c = 5.736 Å
α = 133.46°, β = 133.46°, γ = 67.93°
Sites, in units of the cell vectors:
Sr1 0.000 0.000 0.000
P1 0.257 0.757 0.500
P2 0.668 0.668 0.000
P3 0.757 0.257 0.500
Pt1 0.335 0.335 0.000

No. 6
Material: TcHS2Cl
Method: DFT, PBE-GGA
State: optimized geometry

Output
mass density: 4.01 g/cm3
final energy: -3.923 eV per atom
volume: 82.2 Å³/f.u.

a = 3.759 Å, b = 3.759 Å, c = 5.822 Å
α = 90.00°, β = 90.00°, γ = 90.00°
Sites, in units of the cell vectors:
Tc1 0.000 0.000 0.000
H1 0.500 0.500 0.500
S1 0.000 0.500 0.500
S2 0.500 0.000 0.500
Cl1 0.500 0.500 0.000

No. 7
Material: Tm2HgPb
Method: DFT, PBE-GGA
State: optimized geometry

Output
ΔH_f (0 K): -31.35 kJ/mol of atoms
mass density: 11.11 g/cm3
final energy: -3.563 eV per atom
volume: 111.5 Å³/f.u.

a = 9.643 Å, b = 9.643 Å, c = 9.643 Å
α = 22.12°, β = 22.12°, γ = 22.12°
Sites, in units of the cell vectors:
Tm1 0.246 0.246 0.246
Tm2 0.754 0.754 0.754
Hg1 0.500 0.500 0.500
Pb1 0.000 0.000 0.000

No. 8
Material: Cs2NaAsPd
Method: DFT, PBE-GGA
State: optimized geometry

Output
ΔH_f (0 K): -12.60 kJ/mol of atoms
mass density: 3.28 g/cm3
final energy: -2.704 eV per atom
volume: 238.2 Å³/f.u.

a = 7.134 Å, b = 7.134 Å, c = 4.680 Å
α = 90.00°, β = 90.00°, γ = 90.00°
Sites, in units of the cell vectors:
Cs1 0.000 0.500 0.000
Cs2 0.500 0.000 0.000
Na1 0.000 0.000 0.500
As1 0.500 0.500 0.500
Pd1 0.500 0.500 0.000